GGA+U YNiN2F, optimized geometry; total DFT energy (no corrections) = -6.117 eV/atom; space-group type = P4/mmm
1.0
3.8064 0.0000 0.0000
0.0000 3.8064 0.0000
0.0000 0.0000 3.9028
F N Ni Y
1 2 1 1
Direct
0.0000 0.0000 0.5000
0.5000 0.0000 0.0000
0.0000 0.5000 0.0000
0.0000 0.0000 0.0000
0.5000 0.5000 0.5000